DFT (PBE) results for an optimized crystal structure of Ti2Zn3Cu3.

## Properties
- Calculated formation energy: -0.27 eV/f.u.
- Calculated volume: 122 Å³/f.u.
- Calculated density: 6556 kg/m³
- Final energy: -4.022 eV/atom

```
data_Ti2Zn3Cu3
_chemical_formula_sum 'Ti4 Zn6 Cu6'
_cell_length_a 7.5237
_cell_length_b 7.5237
_cell_length_c 4.9873
_cell_angle_alpha 90.00
_cell_angle_beta 90.00
_cell_angle_gamma 120.00
_space_group_name_H-M_alt 'P 1'
_space_group_IT_number 1
loop_
_space_group_symop_operation_xyz
'x,y,z'
loop_
_atom_site_label
_atom_site_type_symbol
_atom_site_fract_x
_atom_site_fract_y
_atom_site_fract_z
Ti1 Ti 0.3333 0.6667 0.0000
Ti2 Ti 0.3333 0.6667 0.5000
Ti3 Ti 0.6667 0.3333 0.0000
Ti4 Ti 0.6667 0.3333 0.5000
Zn1 Zn 0.0000 0.2994 0.2500
Zn2 Zn 0.0000 0.7006 0.7500
Zn3 Zn 0.2994 0.0000 0.2500
Zn4 Zn 0.2994 0.2994 0.7500
Zn5 Zn 0.7006 0.0000 0.7500
Zn6 Zn 0.7006 0.7006 0.2500
Cu1 Cu 0.0000 0.3580 0.7500
Cu2 Cu 0.0000 0.6420 0.2500
Cu3 Cu 0.3580 0.0000 0.7500
Cu4 Cu 0.3580 0.3580 0.2500
Cu5 Cu 0.6420 0.0000 0.2500
Cu6 Cu 0.6420 0.6420 0.7500
```